# CdTe3Mo PBE-GGA relaxed
# DOS(E_F), states/eV per cell: 6.13
# VASP energy, eV per atom: -3.047
# Space-group type: Pm-3m
# Total magnetization, μB per atom: 0.62
data_CdTe3Mo
_space_group_name_H-M_alt 'P 1'
_space_group_IT_number 1
_cell_length_a 5.544
_cell_length_b 5.544
_cell_length_c 5.544
_cell_angle_alpha 90.00
_cell_angle_beta 90.00
_cell_angle_gamma 90.00
loop_
_space_group_symop_operation_xyz
'x,y,z'
loop_
_atom_site_label
_atom_site_type_symbol
_atom_site_fract_x
_atom_site_fract_y
_atom_site_fract_z
Te1 Te 0.500 0.000 0.000
Te2 Te 0.000 0.500 0.000
Te3 Te 0.000 0.000 0.500
Mo1 Mo 0.500 0.500 0.500
Cd1 Cd 0.000 0.000 0.000

# Cd2TeMo PBE-GGA relaxed
# DOS(E_F), states/eV per cell: 1.93
# VASP energy, eV per atom: -3.458
# Space-group type: I-4m2
# Total magnetization, μB per atom: 0.47
data_Cd2TeMo
_space_group_name_H-M_alt 'P 1'
_space_group_IT_number 1
_cell_length_a 5.410
_cell_length_b 5.410
_cell_length_c 5.410
_cell_angle_alpha 132.29
_cell_angle_beta 132.29
_cell_angle_gamma 69.78
loop_
_space_group_symop_operation_xyz
'x,y,z'
loop_
_atom_site_label
_atom_site_type_symbol
_atom_site_fract_x
_atom_site_fract_y
_atom_site_fract_z
Cd1 Cd 0.000 0.000 0.000
Cd2 Cd 0.250 0.750 0.500
Te1 Te 0.750 0.250 0.500
Mo1 Mo 0.500 0.500 0.000